Tb3NdTm5 | Alexandria | GGA-PBE | optimized geometry; symmetry = C2/c (15); energy of formation = 339.5 meV per atom; E = -4.2179 eV/atom; offset from the most stable computed form = 0.000 eV/atom
1.0
9.5169 -2.9961 0.0000
9.5169 2.9961 0.0000
-4.5953 0.0000 10.3508
Tb Nd Tm
6 2 10
Direct
0.0000 0.0000 0.0000
0.0000 0.0000 0.5000
0.0573 0.5845 0.6385
0.4155 0.9427 0.8615
0.5845 0.0573 0.1385
0.9427 0.4155 0.3615
0.0726 0.9274 0.7500
0.9274 0.0726 0.2500
0.0781 0.5808 0.9698
0.0966 0.5800 0.3062
0.4192 0.9219 0.5302
0.4200 0.9034 0.1938
0.4295 0.5705 0.2500
0.5705 0.4295 0.7500
0.5800 0.0966 0.8062
0.5808 0.0781 0.4698
0.9034 0.4200 0.6938
0.9219 0.4192 0.0302